K2CaCrF6 | GGA+U | optimized geometry

Values from the calculation:
Total magnetization ... 4.00 μB/f.u.
DFT total energy ... -5.365 eV/atom

Cell and atoms, written as CIF:
```
data_K2CaCrF6
_chemical_formula_sum 'K4 Ca2 Cr2 F12'
_symmetry_space_group_name_H-M 'I m m m'
_symmetry_Int_Tables_number 71
_symmetry_space_group_name_Hall '-I 2 2'
_cell_length_a 6.0372
_cell_length_b 6.0425
_cell_length_c 9.1328
_cell_angle_alpha 90.00
_cell_angle_beta 90.00
_cell_angle_gamma 90.00
loop_
_atom_site_label
_atom_site_type_symbol
_atom_site_fract_x
_atom_site_fract_y
_atom_site_fract_z
_atom_site_occupancy
K1 K 0.0000 0.0000 0.2493 1
Ca1 Ca 0.0000 0.5000 0.0000 1
Cr1 Cr 0.0000 0.5000 0.5000 1
F1 F 0.0000 0.5000 0.2435 1
F2 F 0.2384 0.2623 0.5000 1
```